# CaYSe2

A relaxed structure of CaYSe2 (GGA-PBE, Alexandria).

Summary:
Energy relative to the elements, uncorrected = -587.7 kJ/mol of formula units
E above lowest polymorph = 362 meV per atom

Unit cell a=7.197 b=7.197 c=7.197 alpha=90.00 beta=90.00 gamma=90.00
Space group Fm-3m (No. 225)
One atom of each set of equivalent atoms:
1 Ca 0.000 0.000 0.000 (multiplicity 4)
2 Y 0.000 0.000 0.500 (multiplicity 4)
3 Se 0.250 0.250 0.250 (multiplicity 8)